An optimized crystal structure of Al2CuOs2. Source: Alexandria, functional PBE.

Properties
**Total energy**: -6.803 eV per atom
**Formation enthalpy at 0 K**: 0.005 eV per atom
**DOS(E_F)**: 4.22 states/eV/f.u.

```
Al2CuOs2
1.0
-5.6452 2.7786 -2.1548
1.3034 -2.1316 -6.1636
-1.6390 -2.8377 0.6348
Os Cu Al
4 2 4
direct
0.3552 0.8552 0.0000 Os
0.8552 0.6448 0.0000 Os
0.1448 0.3552 0.0000 Os
0.6448 0.1448 0.0000 Os
0.0000 0.0000 0.0000 Cu
0.5000 0.5000 0.0000 Cu
0.1543 0.6543 0.5000 Al
0.8457 0.3457 0.5000 Al
0.6543 0.8457 0.5000 Al
0.3457 0.1543 0.5000 Al
```